This record from Alexandria describes a relaxed structure of Rb2TaTlSe4. The functional is PBE.

Lattice parameters (Å, degrees): 14.652 13.496 7.825 82.20 65.86 31.94
Element x y z (fractional)
Rb: 0.064 0.064 0.686
Rb: 0.314 0.314 0.936
Rb: 0.686 0.686 0.064
Rb: 0.936 0.936 0.314
Ta: 0.375 0.375 0.375
Ta: 0.625 0.625 0.625
Tl: 0.125 0.125 0.125
Tl: 0.875 0.875 0.875
Se: 0.032 0.612 0.514
Se: 0.342 0.514 0.612
Se: 0.388 0.968 0.658
Se: 0.486 0.658 0.968
Se: 0.514 0.342 0.032
Se: 0.612 0.032 0.342
Se: 0.658 0.486 0.388
Se: 0.968 0.388 0.486

symmetry = Fddd, No. 70
formation energy from raw total energies = -0.875 eV per atom
calculated total energy = -4.6361 eV per atom


This record from Alexandria describes a relaxed structure of Li2SiCl. The functional is PBE.

Lattice parameters (Å, degrees): 4.864 4.864 4.864 60.00 60.00 60.00
Element x y z (fractional)
Li: 0.000 0.000 0.000
Li: 0.250 0.250 0.250
Si: 0.500 0.500 0.500
Cl: 0.750 0.750 0.750

symmetry = F-43m, No. 216
formation energy from raw total energies = 0.174 eV per atom
calculated total energy = -2.6002 eV per atom
ΔE to the lowest computed polymorph = 837.1 meV/atom


This record from Alexandria describes a relaxed structure of Sr3LiPd. The functional is PBE.

Lattice parameters (Å, degrees): 6.972 7.452 7.807 108.57 103.36 98.79
Element x y z (fractional)
Sr: 0.019 0.085 0.258
Sr: 0.228 0.471 0.855
Sr: 0.368 0.685 0.445
Sr: 0.632 0.315 0.555
Sr: 0.772 0.529 0.145
Sr: 0.981 0.915 0.742
Li: 0.473 0.934 0.130
Li: 0.527 0.066 0.870
Pd: 0.370 0.270 0.141
Pd: 0.630 0.730 0.859

symmetry = P-1, No. 2
energy of formation = -0.2759 eV per atom
calculated total energy = -2.7064 eV per atom
ΔE to the lowest computed polymorph = 0.0 meV/atom